Arrangement one

Below is a relaxed RbSr2Pr crystal, with properties calculated at the PBE level.

Geometry as POSCAR:
```
RbSr2Pr
1.0
2.047 1.182 14.827
-2.047 1.182 14.827
0.000 -2.364 14.827
Rb Sr Pr
1 2 1
Direct
0.000 0.000 0.000
0.096 0.096 0.096
0.904 0.904 0.904
0.500 0.500 0.500
```

Total moment (μB/f.u.): 0.2

***

Arrangement two

Below is a relaxed RbSr2Pr crystal, with properties calculated at the PBE level.

Geometry as POSCAR:
```
RbSr2Pr
1.0
4.130 0.000 0.000
0.000 4.130 0.000
0.000 0.000 12.705
Rb Sr Pr
1 2 1
Direct
0.000 0.000 0.000
0.500 0.500 0.293
0.500 0.500 0.707
0.000 0.000 0.500
```

Total moment (μB/f.u.): 0.0

***

Most stable one: arrangement two, least stable one: arrangement one.

***

Arrangement one

Below is a relaxed PrTh2Re crystal, with properties calculated at the PBE level.

Geometry as POSCAR:
```
PrTh2Re
1.0
3.559 0.000 0.000
0.000 3.559 0.000
0.000 0.000 9.039
Pr Th Re
1 2 1
Direct
0.000 0.000 0.000
0.500 0.500 0.304
0.500 0.500 0.696
0.000 0.000 0.500
```

Total moment (μB/f.u.): 0.0

***

Arrangement two

Below is a relaxed PrTh2Re crystal, with properties calculated at the PBE level.

Geometry as POSCAR:
```
PrTh2Re
1.0
1.982 1.144 10.353
-1.982 1.144 10.353
0.000 -2.288 10.353
Pr Th Re
1 2 1
Direct
0.000 0.000 0.000
0.115 0.115 0.115
0.885 0.885 0.885
0.500 0.500 0.500
```

Total moment (μB/f.u.): 0.0

***

Most stable one: arrangement one, least stable one: arrangement two.

***

Arrangement one

Below is a relaxed Pr3Rh2 crystal, with properties calculated at the PBE level.

Geometry as POSCAR:
```
Pr3Rh2
1.0
11.426 0.000 0.000
0.000 4.104 0.000
0.000 0.000 11.446
Pr Rh
12 8
Direct
0.051 0.250 0.130
0.116 0.750 0.563
0.222 0.250 0.812
0.278 0.750 0.312
0.384 0.250 0.063
0.449 0.750 0.630
0.551 0.250 0.370
0.616 0.750 0.937
0.722 0.250 0.688
0.778 0.750 0.188
0.884 0.250 0.437
0.949 0.750 0.870
0.009 0.750 0.313
0.184 0.750 0.995
0.316 0.250 0.495
0.491 0.250 0.813
0.509 0.750 0.187
0.684 0.750 0.505
0.816 0.250 0.005
0.991 0.250 0.687
```

Total moment (μB/f.u.): 0.0

***

Arrangement two

Below is a relaxed Pr3Rh2 crystal, with properties calculated at the PBE level.

Geometry as POSCAR:
```
Pr3Rh2
1.0
4.489 2.591 5.634
-4.489 2.591 5.634
0.000 -5.183 5.634
Pr Rh
9 6
Direct
0.000 0.000 0.000
0.164 0.391 0.666
0.204 0.204 0.204
0.334 0.836 0.609
0.391 0.666 0.164
0.609 0.334 0.836
0.666 0.164 0.391
0.796 0.796 0.796
0.836 0.609 0.334
0.043 0.839 0.409
0.161 0.591 0.957
0.409 0.043 0.839
0.591 0.957 0.161
0.839 0.409 0.043
0.957 0.161 0.591
```

Total moment (μB/f.u.): 0.0

***

Most stable one: arrangement two, least stable one: arrangement one.

***

Arrangement one

Below is a relaxed Pr3Rh2 crystal, with properties calculated at the PBE level.

Geometry as POSCAR:
```
Pr3Rh2
1.0
3.563 2.057 6.567
-3.563 2.057 6.567
0.000 -4.114 6.567
Pr Rh
6 4
Direct
0.094 0.750 0.406
0.250 0.594 0.906
0.406 0.094 0.750
0.594 0.906 0.250
0.750 0.406 0.094
0.906 0.250 0.594
0.172 0.172 0.172
0.328 0.328 0.328
0.672 0.672 0.672
0.828 0.828 0.828
```

Total moment (μB/f.u.): 0.0

***

Arrangement two

Below is a relaxed Pr3Rh2 crystal, with properties calculated at the PBE level.

Geometry as POSCAR:
```
Pr3Rh2
1.0
9.073 -2.171 0.000
9.073 2.171 0.000
-1.454 0.000 10.804
Pr Rh
9 6
Direct
0.000 0.000 0.000
0.037 0.037 0.660
0.292 0.292 0.381
0.327 0.327 0.046
0.376 0.376 0.721
0.624 0.624 0.279
0.673 0.673 0.954
0.708 0.708 0.619
0.963 0.963 0.340
0.139 0.139 0.467
0.179 0.179 0.133
0.472 0.472 0.175
0.528 0.528 0.825
0.821 0.821 0.867
0.861 0.861 0.533
```

Total moment (μB/f.u.): 0.0

***

Most stable one: arrangement one, least stable one: arrangement two.